# 1
{
  "formula": "KRuRh",
  "functional": "PBE-GGA",
  "state": "relaxed",
  "lattice": [[-1.560, -3.235, 0.828], [2.663, -0.654, 2.464], [-6.225, 5.068, 8.073]],
  "species": ["Rh", "Rh", "K", "K", "Ru", "Ru"],
  "frac_coords": [[0.500, 0.000, 0.658], [0.000, 0.500, 0.342], [0.000, 0.500, 0.831], [0.500, 0.000, 0.169], [0.000, 0.000, 0.500], [0.500, 0.500, 0.500]],
  "energy_ha_per_atom": -0.19241,
  "polymorph_energy_mev_per_atom": 188,
  "n_ef_per_ev_atom": 1.18,
  "delta_e_f_ev_per_atom": 0.672,
  "spacegroup": "P4/nmm, No. 129",
  "magnetic_moment_mub_per_fu": 0.0
}

***

# 2
{
  "formula": "Pm2Pr3Sm2",
  "functional": "PBE-GGA",
  "state": "relaxed",
  "lattice": [[-3.094, -3.754, -3.655], [0.773, -4.735, 4.211], [-3.654, 2.571, 5.519]],
  "species": ["Pm", "Pm", "Sm", "Sm", "Pr", "Pr", "Pr"],
  "frac_coords": [[0.144, 0.438, 0.288], [0.856, 0.562, 0.712], [0.573, 0.699, 0.146], [0.427, 0.301, 0.854], [0.293, 0.868, 0.586], [0.000, 0.000, 0.000], [0.707, 0.132, 0.414]],
  "energy_ha_per_atom": -0.17085,
  "polymorph_energy_mev_per_atom": 4,
  "n_ef_per_ev_atom": 1.97,
  "delta_e_f_ev_per_atom": 0.105,
  "spacegroup": "C2/m, No. 12",
  "magnetic_moment_mub_per_fu": 0.0
}

***

# 3
{
  "formula": "Y2ScCd2",
  "functional": "PBE-GGA",
  "state": "relaxed",
  "lattice": [[4.135, 0.000, 0.000], [0.000, 4.135, 0.000], [2.068, 2.068, 8.531]],
  "species": ["Y", "Y", "Cd", "Cd", "Sc"],
  "frac_coords": [[0.399, 0.399, 0.203], [0.601, 0.601, 0.797], [0.750, 0.250, 0.500], [0.250, 0.750, 0.500], [0.000, 0.000, 0.000]],
  "energy_ha_per_atom": -0.14967,
  "polymorph_energy_mev_per_atom": 380,
  "n_ef_per_ev_atom": 1.03,
  "delta_e_f_ev_per_atom": 0.145,
  "spacegroup": "I4/mmm, No. 139",
  "magnetic_moment_mub_per_fu": 0.0
}

***

# 4
{
  "formula": "InFePt2",
  "functional": "PBE-GGA",
  "state": "relaxed",
  "lattice": [[2.896, 0.000, 0.000], [0.000, 3.934, 0.000], [0.000, 0.000, 5.708]],
  "species": ["Fe", "Pt", "Pt", "In"],
  "frac_coords": [[0.000, 0.000, 0.464], [0.000, 0.000, 0.994], [0.500, 0.500, 0.281], [0.500, 0.500, 0.760]],
  "energy_ha_per_atom": -0.21998,
  "n_ef_per_ev_atom": 1.04,
  "delta_e_f_ev_per_atom": -0.165,
  "spacegroup": "Pmm2, No. 25",
  "magnetic_moment_mub_per_fu": 3.1
}

***

# 5
{
  "formula": "BeTe2PtSe",
  "functional": "PBE-GGA",
  "state": "relaxed",
  "lattice": [[-2.691, 0.405, 4.724], [4.078, -0.533, 2.368], [0.733, 5.402, -0.046]],
  "species": ["Pt", "Te", "Te", "Se", "Be"],
  "frac_coords": [[0.000, 0.000, 0.000], [0.000, 0.000, 0.500], [0.500, 0.000, 0.000], [0.000, 0.500, 0.000], [0.500, 0.500, 0.500]],
  "energy_ha_per_atom": -0.11292,
  "n_ef_per_ev_atom": 1.34,
  "formation_energy_uncorrected_ev_per_atom": 0.834,
  "spacegroup": "P4/mmm, No. 123",
  "magnetic_moment_mub_per_fu": 0.0
}

***

# 6
{
  "formula": "YAlNi2",
  "functional": "PBE-GGA",
  "state": "relaxed",
  "lattice": [[-4.910, 1.733, 4.219], [4.673, -4.581, -1.444], [3.429, 2.573, 2.933]],
  "species": ["Al", "Al", "Ni", "Ni", "Ni", "Ni", "Y", "Y"],
  "frac_coords": [[0.957, 0.043, 0.250], [0.043, 0.957, 0.750], [0.592, 0.408, 0.013], [0.408, 0.592, 0.513], [0.592, 0.408, 0.487], [0.408, 0.592, 0.987], [0.212, 0.788, 0.250], [0.788, 0.212, 0.750]],
  "energy_ha_per_atom": -0.21548,
  "n_ef_per_ev_atom": 0.49,
  "delta_e_f_ev_per_atom": -0.421,
  "spacegroup": "Cmcm, No. 63",
  "magnetic_moment_mub_per_fu": 0.0
}

***

# 7
{
  "formula": "K2TcPb",
  "functional": "PBE-GGA",
  "state": "relaxed",
  "lattice": [[-1.516, -1.224, -5.480], [3.205, -0.617, -0.749], [2.225, -6.266, 0.784]],
  "species": ["K", "K", "Pb", "Tc"],
  "frac_coords": [[0.000, 0.979, 0.994], [0.000, 0.521, 0.506], [0.500, 0.250, 0.250], [0.500, 0.750, 0.750]],
  "energy_ha_per_atom": -0.11598,
  "n_ef_per_ev_atom": 0.78,
  "delta_e_f_ev_per_atom": 0.911,
  "spacegroup": "P2/m, No. 10",
  "magnetic_moment_mub_per_fu": 2.2
}

***

# 8
{
  "formula": "YMg2Br",
  "functional": "PBE-GGA",
  "state": "relaxed",
  "lattice": [[5.917, 0.152, -0.435], [-3.107, 5.038, -0.435], [0.253, 0.467, 3.491]],
  "species": ["Mg", "Mg", "Br", "Y"],
  "frac_coords": [[0.000, 0.000, 0.000], [0.500, 0.500, 0.000], [0.000, 0.500, 0.500], [0.500, 0.000, 0.500]],
  "energy_ha_per_atom": -0.11528,
  "polymorph_energy_mev_per_atom": 125,
  "n_ef_per_ev_atom": 0.68,
  "formation_energy_uncorrected_ev_per_atom": -0.305,
  "spacegroup": "C2/m, No. 12",
  "magnetic_moment_mub_per_fu": 0.0
}